No. 1
HfPa3Ga12 (PBE, relaxed); density of states at the Fermi level = 1.033 states/eV/atom; raw total energy = -5.0549 eV/atom; magnetic moment = 0.0 μB/f.u.
1.0
4.2593 0.0000 0.0000
0.0000 4.2593 0.0000
0.0000 0.0000 16.9393
Hf Pa Ga
1 3 12
Cartesian
0.0000 0.0000 0.0000 Hf
0.0000 0.0000 4.1251 Pa
0.0000 0.0000 8.4697 Pa
0.0000 0.0000 12.8143 Pa
0.0000 2.1296 1.9945 Ga
0.0000 2.1296 6.3029 Ga
0.0000 2.1296 10.6364 Ga
0.0000 2.1296 14.9448 Ga
2.1296 0.0000 1.9945 Ga
2.1296 0.0000 6.3029 Ga
2.1296 0.0000 10.6364 Ga
2.1296 0.0000 14.9448 Ga
2.1296 2.1296 0.0000 Ga
2.1296 2.1296 4.2074 Ga
2.1296 2.1296 8.4697 Ga
2.1296 2.1296 12.7320 Ga

No. 2
HfPaGa6 (PBE, relaxed); density of states at the Fermi level = 0.482 states/eV/atom; raw total energy = -5.0952 eV/atom; magnetic moment = 0.0 μB/f.u.
1.0
4.2243 0.0000 0.0000
0.0000 4.2243 0.0000
0.0000 0.0000 8.2952
Hf Pa Ga
1 1 6
Cartesian
0.0000 0.0000 0.0000 Hf
0.0000 0.0000 4.1476 Pa
0.0000 2.1121 2.0011 Ga
0.0000 2.1121 6.2941 Ga
2.1121 0.0000 2.0011 Ga
2.1121 0.0000 6.2941 Ga
2.1121 2.1121 0.0000 Ga
2.1121 2.1121 4.1476 Ga

No. 3
HfPaGa3 (PBE, relaxed); density of states at the Fermi level = 0.884 states/eV/atom; raw total energy = -6.0777 eV/atom; magnetic moment = 0.0 μB/f.u.
1.0
2.0016 -12.3832 0.0000
2.0016 12.3832 0.0000
0.0000 0.0000 4.0373
Hf Pa Ga
2 2 6
Cartesian
2.0016 7.2811 3.0279 Hf
2.0016 -7.2811 1.0093 Hf
2.0016 10.5164 1.0093 Pa
2.0016 -10.5164 3.0279 Pa
2.0016 4.5373 3.0279 Ga
2.0016 3.0644 1.0093 Ga
2.0016 0.6349 1.0093 Ga
2.0016 -0.6349 3.0279 Ga
2.0016 -3.0644 3.0279 Ga
2.0016 -4.5373 1.0093 Ga